(1)
First-principles (PBE-GGA) data for a relaxed structure of RbZr2RhI, as listed in the Alexandria database.

**M_tot**: 0.0 μB/f.u.
**Formation energy (no corrections)**: 220 meV/atom
**VASP energy**: -5.173 eV/atom

The structure in CIF format:
```
data_RbZr2RhI
_chemical_formula_sum 'Rb1 Zr2 Rh1 I1'
_cell_length_a 4.9904
_cell_length_b 4.9904
_cell_length_c 7.2069
_cell_angle_alpha 90.00
_cell_angle_beta 90.00
_cell_angle_gamma 90.00
_space_group_name_H-M_alt 'P 4/m m m'
_space_group_IT_number 123
_space_group_name_Hall '-P 4 2'
loop_
_atom_site_label
_atom_site_type_symbol
_atom_site_fract_x
_atom_site_fract_y
_atom_site_fract_z
Rb1 Rb 0.0000 0.0000 0.0000
Zr1 Zr 0.0000 0.5000 0.5000
Rh1 Rh 0.0000 0.0000 0.5000
I1 I 0.5000 0.5000 0.0000
```

(2)
First-principles (PBE-GGA) data for a relaxed structure of InAsBr, as listed in the Alexandria database.

**M_tot**: 0.0 μB/f.u.
**Energy above the most stable polymorph in this dataset**: 351 meV per atom
**Formation energy (no corrections)**: 37 meV/atom
**VASP energy**: -2.983 eV/atom

The structure in CIF format:
```
data_InAsBr
_chemical_formula_sum 'In4 As4 Br4'
_cell_length_a 4.0070
_cell_length_b 6.0036
_cell_length_c 14.3746
_cell_angle_alpha 90.00
_cell_angle_beta 90.00
_cell_angle_gamma 90.00
_space_group_name_H-M_alt 'F m m 2'
_space_group_IT_number 42
_space_group_name_Hall 'F 2 -2'
loop_
_atom_site_label
_atom_site_type_symbol
_atom_site_fract_x
_atom_site_fract_y
_atom_site_fract_z
In1 In 0.0000 0.0000 0.0000
As1 As 0.0000 0.0000 0.3757
Br1 Br 0.0000 0.0000 0.6415
```

(3)
First-principles (PBE-GGA) data for a relaxed structure of Tl5Ga2Pd12, as listed in the Alexandria database.

**M_tot**: 0.0 μB/f.u.
**ΔH_f (0 K)**: -0.173 eV/atom
**VASP energy**: -4.394 eV/atom

The structure in CIF format:
```
data_Tl5Ga2Pd12
_chemical_formula_sum 'Tl10 Ga4 Pd24'
_cell_length_a 15.3115
_cell_length_b 5.6788
_cell_length_c 9.7060
_cell_angle_alpha 90.00
_cell_angle_beta 117.13
_cell_angle_gamma 90.00
_space_group_name_H-M_alt 'C 1 2/m 1'
_space_group_IT_number 12
loop_
_space_group_symop_operation_xyz
'x,y,z'
'-x,-y,-z'
'-x,y,-z'
'x,-y,z'
'x+1/2,y+1/2,z'
'-x+1/2,-y+1/2,-z'
'-x+1/2,y+1/2,-z'
'x+1/2,-y+1/2,z'
loop_
_atom_site_label
_atom_site_type_symbol
_atom_site_fract_x
_atom_site_fract_y
_atom_site_fract_z
Tl1 Tl 0.0000 0.0000 0.0000
Tl2 Tl 0.1733 0.5000 0.0056
Tl3 Tl 0.2024 0.5000 0.5207
Ga1 Ga 0.0000 0.2472 0.5000
Pd1 Pd 0.0034 0.5000 0.2834
Pd2 Pd 0.0065 0.0000 0.2906
Pd3 Pd 0.1483 0.2527 0.2397
Pd4 Pd 0.1657 0.2462 0.7463
```

(4)
First-principles (PBE-GGA) data for a relaxed structure of MgGa2OsN, as listed in the Alexandria database.

**M_tot**: 2.5 μB/f.u.
**Energy above the most stable polymorph in this dataset**: 1134 meV per atom
**Formation energy (no corrections)**: 1476 meV/atom
**VASP energy**: -3.964 eV/atom

The structure in CIF format:
```
data_MgGa2OsN
_chemical_formula_sum 'Mg1 Ga2 Os1 N1'
_cell_length_a 5.0258
_cell_length_b 5.0258
_cell_length_c 3.5933
_cell_angle_alpha 90.00
_cell_angle_beta 90.00
_cell_angle_gamma 90.00
_space_group_name_H-M_alt 'P 4/m m m'
_space_group_IT_number 123
_space_group_name_Hall '-P 4 2'
loop_
_atom_site_label
_atom_site_type_symbol
_atom_site_fract_x
_atom_site_fract_y
_atom_site_fract_z
Mg1 Mg 0.0000 0.0000 0.0000
Ga1 Ga 0.0000 0.5000 0.0000
Os1 Os 0.5000 0.5000 0.5000
N1 N 0.0000 0.0000 0.5000
```

(5)
First-principles (PBE-GGA) data for a relaxed structure of KBaMo2, as listed in the Alexandria database.

**M_tot**: 0.0 μB/f.u.
**Energy above the most stable polymorph in this dataset**: 525 meV per atom
**ΔH_f (0 K)**: 1.299 eV/atom
**VASP energy**: -4.872 eV/atom

The structure in CIF format:
```
data_KBaMo2
_chemical_formula_sum 'K1 Ba1 Mo2'
_cell_length_a 3.1351
_cell_length_b 5.8664
_cell_length_c 7.4671
_cell_angle_alpha 90.00
_cell_angle_beta 90.00
_cell_angle_gamma 90.00
_space_group_name_H-M_alt 'P m m m'
_space_group_IT_number 47
loop_
_space_group_symop_operation_xyz
'x,y,z'
'-x,-y,-z'
'-x,-y,z'
'x,y,-z'
'x,-y,-z'
'-x,y,z'
'-x,y,-z'
'x,-y,z'
loop_
_atom_site_label
_atom_site_type_symbol
_atom_site_fract_x
_atom_site_fract_y
_atom_site_fract_z
K1 K 0.0000 0.0000 0.0000
Ba1 Ba 0.0000 0.0000 0.5000
Mo1 Mo 0.5000 0.5000 0.3548
```

(6)
First-principles (PBE-GGA) data for a relaxed structure of NbInAu2Br, as listed in the Alexandria database.

**M_tot**: 3.8 μB/f.u.
**Formation energy (no corrections)**: 947 meV/atom
**VASP energy**: -3.260 eV/atom

The structure in CIF format:
```
data_NbInAu2Br
_chemical_formula_sum 'Nb1 In1 Au2 Br1'
_cell_length_a 5.1449
_cell_length_b 5.1449
_cell_length_c 5.5981
_cell_angle_alpha 90.00
_cell_angle_beta 90.00
_cell_angle_gamma 90.00
_space_group_name_H-M_alt 'P 4/m m m'
_space_group_IT_number 123
_space_group_name_Hall '-P 4 2'
loop_
_atom_site_label
_atom_site_type_symbol
_atom_site_fract_x
_atom_site_fract_y
_atom_site_fract_z
Nb1 Nb 0.0000 0.0000 0.0000
In1 In 0.5000 0.5000 0.5000
Au1 Au 0.0000 0.5000 0.5000
Br1 Br 0.5000 0.5000 0.0000
```